Material: Li2DyIn
Method: DFT, GGA-PBE
State: optimized geometry

a b c (Å): 4.5017 4.5543 4.5543
angles (deg): 90.00 90.00 90.00
With the nearest neighbours (Å) after each atom.
Fractional positions:
Li 0.0000 0.0000 0.5000  4 Dy 3.20, 4 In 3.20, 4 Li 3.22
In 0.5000 0.0000 0.0000  8 Li 3.20, 4 Dy 3.22
Dy 0.5000 0.5000 0.5000  8 Li 3.20, 4 In 3.22
Li 0.0000 0.5000 0.0000  4 In 3.20, 4 Dy 3.20, 4 Li 3.22

Values from the calculation:
* V: 93.37 Å³/cell
* total energy: -11.6 eV per cell
* distance to the lowest polymorph of the same formula: 171 meV per atom
* spin magnetization: 0.000 μB/atom

Material: NaHfPCl2
Method: DFT, GGA-PBE
State: optimized geometry

a b c (Å): 4.5161 4.5161 5.5209
angles (deg): 90.00 90.00 90.00
With the nearest neighbours (Å) after each atom.
Fractional positions:
Cl 0.5000 0.0000 0.0000  2 Na 2.26
Hf 0.5000 0.5000 0.5000  4 P 3.19, 8 Cl 3.57
Cl 0.0000 0.5000 0.0000  2 Na 2.26
P 0.0000 0.0000 0.5000  2 Na 2.76
Na 0.0000 0.0000 0.0000  4 Cl 2.26

Values from the calculation:
* formation energy (no corrections): 0.141 eV/atom
* V: 112.60 Å³/cell
* total energy: -19.7 eV per cell
* distance to the lowest polymorph of the same formula: 1157 meV per atom
* spin magnetization: 0.000 μB/atom

Material: RbCrIn2Cl8
Method: DFT, GGA-PBE
State: optimized geometry

a b c (Å): 6.7415 6.7415 9.7305
angles (deg): 69.73 69.73 60.00
With the nearest neighbours (Å) after each atom.
Fractional positions:
Rb 0.5000 0.5000 0.5000  12 Cl 3.80-3.94
Cl 0.8095 0.8095 0.5716  1 In 2.48
Cl 0.1165 0.2965 0.8516  1 Cr 2.34
Cl 0.1905 0.1905 0.4284  1 In 2.48
In 0.2833 0.2833 0.1500  4 Cl 2.48-2.77
Cl 0.2965 0.7353 0.8516  1 Cr 2.34
Cl 0.7035 0.2647 0.1484  1 Cr 2.34
Cl 0.8835 0.7035 0.1484  1 Cr 2.34
Cl 0.2647 0.8835 0.1484  1 Cr 2.34
In 0.7167 0.7167 0.8500  4 Cl 2.48-2.77
Cl 0.7353 0.1165 0.8516  1 Cr 2.34
Cr 0.0000 0.0000 0.0000  6 Cl 2.34

Values from the calculation:
* formation energy (no corrections): -1.087 eV/atom
* V: 351.00 Å³/cell
* total energy: -43.9 eV per cell
* spin magnetization: 0.088 μB/atom

Material: SrHfCl2
Method: DFT, GGA-PBE
State: optimized geometry

a b c (Å): 5.0599 5.0599 5.0599
angles (deg): 60.00 60.00 60.00
With the nearest neighbours (Å) after each atom.
Fractional positions:
Sr 0.0000 0.0000 0.0000  8 Cl 3.10
Cl 0.2500 0.2500 0.2500  4 Hf 3.10, 4 Sr 3.10
Hf 0.5000 0.5000 0.5000  8 Cl 3.10
Cl 0.7500 0.7500 0.7500  4 Hf 3.10, 4 Sr 3.10

Values from the calculation:
* formation energy (no corrections): -0.425 eV/atom
* V: 91.60 Å³/cell
* total energy: -17.0 eV per cell
* distance to the lowest polymorph of the same formula: 474 meV per atom
* spin magnetization: 0.000 μB/atom

Material: InSnP2O8
Method: DFT, GGA-PBE
State: optimized geometry

a b c (Å): 4.8689 4.8689 7.7329
angles (deg): 71.65 71.65 60.00
With the nearest neighbours (Å) after each atom.
Fractional positions:
In 0.0000 0.0000 0.0000  6 O 2.17
P 0.7496 0.7496 0.7510  4 O 1.55-1.57
O 0.2766 0.9656 0.1851  1 P 1.55
Sn 0.5000 0.5000 0.5000  12 O 2.82
O 0.8222 0.8222 0.5335  1 P 1.57
O 0.5727 0.2766 0.1851  1 P 1.55
O 0.9656 0.5727 0.1851  1 P 1.55
P 0.2504 0.2504 0.2490  4 O 1.55-1.57
O 0.7234 0.0344 0.8149  1 P 1.55
O 0.0344 0.4273 0.8149  1 P 1.55
O 0.1778 0.1778 0.4665  1 P 1.57
O 0.4273 0.7234 0.8149  1 P 1.55

Values from the calculation:
* formation energy (no corrections): -1.745 eV/atom
* V: 147.90 Å³/cell
* total energy: -78.2 eV per cell
* spin magnetization: 0.001 μB/atom